DFT (GGA-PBEsol) results for a geometry-optimized K2SiAs structure.

E = -3.028 eV/atom
formation energy from raw total energies = 0.252 eV per atom
SG = I-4m2
relative energy among the computed polymorphs = 0.4768 eV per atom
density = 2.9 g/cm³
density of states at the Fermi level = 0.488 states/eV per atom

```
4
Lattice="-2.8245 -1.0266 -4.0836 3.3905 -3.8722 1.7761 -4.2078 0.8699 2.6918" Properties=species:S:1:pos:R:3 pbc="T T T"
Si -3.5162 -0.0784 -0.6959
K 0.0000 0.0000 0.0000
K -1.4751 -2.4886 -1.5017
As -2.1667 -1.5404 1.8860
```